No. 1
A relaxed ThAlAg2 crystal. Source: Alexandria via LeMat-Bulk, functional PBE.

a = 10.4949 Å, b = 10.4949 Å, c = 4.6973 Å
α = 90.00°, β = 90.00°, γ = 160.25°
Atoms (fractional coordinates):
Th 0.1006 0.8994 0.7500
Th 0.8994 0.1006 0.2500
Al 0.3330 0.6670 0.7500
Al 0.6670 0.3330 0.2500
Ag 0.2631 0.7369 0.2500
Ag 0.4633 0.5367 0.7500
Ag 0.5367 0.4633 0.2500
Ag 0.7369 0.2631 0.7500

ΔH_f (0 K) = -0.198 eV per atom



No. 2
A relaxed ThAl2Ag4 crystal. Source: Alexandria via LeMat-Bulk, functional PBE.

a = 5.6832 Å, b = 5.6832 Å, c = 5.6832 Å
α = 103.30°, β = 103.30°, γ = 122.68°
Atoms (fractional coordinates):
Th 0.0000 0.0000 0.0000
Al 0.2500 0.7500 0.5000
Al 0.7500 0.2500 0.5000
Ag 0.3034 0.3034 0.6067
Ag 0.3034 0.6966 0.0000
Ag 0.6966 0.3034 0.0000
Ag 0.6966 0.6966 0.3933

ΔH_f (0 K) = -0.168 eV per atom



No. 3
A relaxed ThAl4Ag6 crystal. Source: Alexandria via LeMat-Bulk, functional PBE.

a = 7.4508 Å, b = 7.4508 Å, c = 4.3005 Å
α = 90.00°, β = 90.00°, γ = 120.00°
Atoms (fractional coordinates):
Th 0.0000 0.0000 0.0000
Al 0.3333 0.6667 0.0000
Al 0.3995 0.1997 0.5000
Al 0.8003 0.1997 0.5000
Al 0.8003 0.6005 0.5000
Ag 0.2018 0.4037 0.5000
Ag 0.2018 0.7982 0.5000
Ag 0.5353 0.0706 0.0000
Ag 0.5353 0.4647 0.0000
Ag 0.5963 0.7982 0.5000
Ag 0.9294 0.4647 0.0000

ΔH_f (0 K) = -0.166 eV per atom